# 1
{"formula": "Al4GaFe", "functional": "GGA-PBE", "state": "relaxed", "formation_enthalpy_0k_ev_per_atom": -0.0774, "rho_g_cm3": 3.8, "spacegroup": "I4_1/amd", "lattice_angstrom": [[-1.685, -2.139, 5.304], [3.340, -4.858, -0.904], [3.658, 6.121, 0.283]], "species": ["Al", "Ga", "Al", "Al", "Fe", "Ga", "Al", "Al", "Al", "Al", "Fe", "Al"], "frac_coords": [[0.000, 0.222, 0.000], [0.375, 0.625, 0.250], [0.222, 0.000, 0.500], [0.500, 0.778, 0.000], [0.875, 0.125, 0.250], [0.625, 0.375, 0.750], [0.500, 0.222, 0.000], [0.000, 0.778, 0.000], [0.778, 0.000, 0.500], [0.778, 0.500, 0.500], [0.125, 0.875, 0.750], [0.222, 0.500, 0.500]]}

# 2
{"formula": "Al5GaFe10", "functional": "GGA-PBE", "state": "relaxed", "formation_enthalpy_0k_ev_per_atom": -0.1570, "rho_g_cm3": 6.3, "spacegroup": "I422", "lattice_angstrom": [[-3.032, -0.568, -3.515], [-5.897, -2.758, 2.421], [-3.883, 5.718, -0.686]], "species": ["Al", "Al", "Al", "Fe", "Fe", "Fe", "Fe", "Al", "Fe", "Al", "Fe", "Ga", "Fe", "Fe", "Fe", "Fe"], "frac_coords": [[0.922, 0.156, 0.500], [0.500, 0.000, 0.000], [0.578, 0.844, 0.500], [0.500, 0.500, 0.500], [0.986, 0.836, 0.693], [0.485, 0.693, 0.836], [0.822, 0.693, 0.164], [0.422, 0.500, 0.156], [0.679, 0.307, 0.836], [0.078, 0.500, 0.844], [0.321, 0.164, 0.693], [0.000, 0.000, 0.000], [0.515, 0.164, 0.307], [0.000, 0.500, 0.500], [0.178, 0.836, 0.307], [0.014, 0.307, 0.164]]}

# 3
{"formula": "Al7GaFe4", "functional": "GGA-PBE", "state": "relaxed", "formation_enthalpy_0k_ev_per_atom": -0.1925, "rho_g_cm3": 4.6, "spacegroup": "P-1", "lattice_angstrom": [[-3.637, -3.551, 1.418], [4.326, -5.332, -1.250], [-1.092, -4.942, 5.568]], "species": ["Fe", "Al", "Fe", "Ga", "Al", "Fe", "Al", "Al", "Fe", "Al", "Al", "Al"], "frac_coords": [[0.097, 0.243, 0.148], [0.783, 0.445, 0.776], [0.654, 0.244, 0.610], [0.000, 0.000, 0.000], [0.500, 0.000, 0.000], [0.903, 0.757, 0.852], [0.325, 0.523, 0.733], [0.284, 0.109, 0.436], [0.346, 0.756, 0.390], [0.217, 0.555, 0.224], [0.675, 0.477, 0.267], [0.716, 0.891, 0.564]]}

# 4
{"formula": "Al2GaFe6", "functional": "GGA-PBE", "state": "relaxed", "formation_enthalpy_0k_ev_per_atom": -0.0588, "rho_g_cm3": 6.7, "spacegroup": "Immm", "lattice_angstrom": [[-1.161, 1.764, -1.426], [-4.077, -5.002, -2.869], [-1.663, 2.491, 6.712]], "species": ["Fe", "Fe", "Fe", "Al", "Ga", "Fe", "Fe", "Al", "Fe"], "frac_coords": [[0.500, 0.171, 0.000], [0.330, 0.502, 0.661], [0.670, 0.498, 0.339], [0.847, 0.847, 0.694], [0.000, 0.500, 0.000], [0.670, 0.841, 0.339], [0.330, 0.159, 0.661], [0.153, 0.153, 0.306], [0.500, 0.829, 0.000]]}

# 5
{"formula": "Al8GaFe2", "functional": "GGA-PBE", "state": "relaxed", "formation_enthalpy_0k_ev_per_atom": -0.1341, "rho_g_cm3": 4.0, "spacegroup": "P-1", "lattice_angstrom": [[-2.204, -1.668, -3.904], [4.563, -0.197, -2.337], [-0.303, -5.325, 5.290]], "species": ["Al", "Al", "Ga", "Al", "Fe", "Fe", "Al", "Al", "Al", "Al", "Al"], "frac_coords": [[0.347, 0.456, 0.910], [0.913, 0.981, 0.538], [0.091, 0.909, 0.909], [0.897, 0.466, 0.539], [0.751, 0.569, 0.228], [0.430, 0.249, 0.590], [0.835, 0.362, 0.908], [0.269, 0.838, 0.281], [0.705, 0.023, 0.137], [0.285, 0.352, 0.279], [0.477, 0.795, 0.681]]}

# 6
{"formula": "Al4GaFe7", "functional": "GGA-PBE", "state": "relaxed", "formation_enthalpy_0k_ev_per_atom": -0.2240, "rho_g_cm3": 6.3, "spacegroup": "P-3m1", "lattice_angstrom": [[-2.278, -1.102, 3.226], [-1.602, -0.109, -3.773], [3.166, -9.665, -1.065]], "species": ["Al", "Fe", "Fe", "Fe", "Fe", "Ga", "Al", "Fe", "Al", "Fe", "Al", "Fe"], "frac_coords": [[0.333, 0.667, 0.924], [0.000, 0.000, 0.763], [0.333, 0.667, 0.182], [0.667, 0.333, 0.818], [0.000, 0.000, 0.000], [0.000, 0.000, 0.500], [0.333, 0.667, 0.667], [0.333, 0.667, 0.423], [0.667, 0.333, 0.076], [0.667, 0.333, 0.577], [0.667, 0.333, 0.333], [0.000, 0.000, 0.237]]}

DFT total energy across the listed records, respectively: -26.92, -108.88, -65.39, -61.82, -51.37, -79.92 eV/f.u..